# 1
Compound: SrTeAsI2
Source: Alexandria via LeMat-Bulk
Functional: PBE
Structure: optimized geometry

Cell: 6.2805 6.2805 6.7401 Å, 90.00 90.00 90.00°
Last column: nearest neighbours and their distance in Å.
Positions (direct):
As 0.5000 0.5000 0.5000  4 Te 4.44, 8 I 4.61
Sr 0.0000 0.0000 0.0000  4 I 3.14, 2 Te 3.37
I 0.0000 0.5000 0.0000  2 Sr 3.14
I 0.5000 0.0000 0.0000  2 Sr 3.14
Te 0.0000 0.0000 0.5000  2 Sr 3.37

The calculation puts the raw formation energy at -0.017 eV/atom. For the theoretical density, the calculation gives 3.40 g/cm3. As for the space group: No. 123. The value obtained for the total energy is -2.532 eV/atom. Its size of the total moment is 0.21 μB per atom.

# 2
Compound: Mg3ScAg4
Source: Alexandria via LeMat-Bulk
Functional: PBE
Structure: optimized geometry

Cell: 4.7433 6.7602 9.4841 Å, 90.00 90.00 90.00°
Last column: nearest neighbours and their distance in Å.
Positions (direct):
Sc 0.0000 0.5000 0.5000  8 Ag 2.92-2.93
Sc 0.0000 0.5000 0.0000  8 Ag 2.92-2.93
Mg 0.0000 0.0000 0.0000  8 Ag 2.90
Mg 0.4997 0.0000 0.2500  8 Ag 2.90
Mg 0.4997 0.5000 0.2500  8 Ag 2.92-2.93
Mg 0.5003 0.0000 0.7500  8 Ag 2.90
Mg 0.5003 0.5000 0.7500  8 Ag 2.92-2.93
Mg 0.0000 0.0000 0.5000  8 Ag 2.90
Ag 0.5000 0.7536 0.0000  6 Mg 2.90-2.93, 2 Sc 2.93
Ag 0.0004 0.2467 0.7500  6 Mg 2.90-2.93, 2 Sc 2.92
Ag 0.5000 0.7536 0.5000  6 Mg 2.90-2.93, 2 Sc 2.93
Ag 0.5000 0.2464 0.0000  6 Mg 2.90-2.93, 2 Sc 2.93
Ag 0.9996 0.7533 0.2500  6 Mg 2.90-2.93, 2 Sc 2.92
Ag 0.0004 0.7533 0.7500  6 Mg 2.90-2.93, 2 Sc 2.92
Ag 0.9996 0.2467 0.2500  6 Mg 2.90-2.93, 2 Sc 2.92
Ag 0.5000 0.2464 0.5000  6 Mg 2.90-2.93, 2 Sc 2.93

The formation energy comes out at -0.25 eV/atom. For the theoretical density, the calculation gives 6.00 g/cm3. As for the space group: No. 123. The value obtained for the total energy is -3.061 eV/atom. Its size of the total moment is 0.00 μB per atom.

# 3
Compound: Ce6PaO12
Source: Alexandria via LeMat-Bulk
Functional: PBE
Structure: optimized geometry

Cell: 6.7976 6.7976 6.7976 Å, 99.15 99.15 99.15°
Last column: nearest neighbours and their distance in Å.
Positions (direct):
O 0.5658 0.8229 0.4126  4 Ce 2.30-2.46
O 0.5874 0.4342 0.1771  4 Ce 2.30-2.46
O 0.4342 0.1771 0.5874  4 Ce 2.30-2.46
O 0.6889 0.0599 0.9301  1 Pa 2.21, 2 Ce 2.40-2.42
O 0.1771 0.5874 0.4342  4 Ce 2.30-2.46
O 0.3111 0.9401 0.0699  1 Pa 2.21, 2 Ce 2.40-2.42
O 0.4126 0.5658 0.8229  4 Ce 2.30-2.46
O 0.8229 0.4126 0.5658  4 Ce 2.30-2.46
O 0.9301 0.6889 0.0599  1 Pa 2.21, 2 Ce 2.40-2.42
O 0.9401 0.0699 0.3111  1 Pa 2.21, 2 Ce 2.40-2.42
O 0.0599 0.9301 0.6889  1 Pa 2.21, 2 Ce 2.40-2.42
O 0.0699 0.3111 0.9401  1 Pa 2.21, 2 Ce 2.40-2.42
Ce 0.6955 0.3983 0.8588  6 O 2.30-2.46
Ce 0.8588 0.6955 0.3983  6 O 2.30-2.46
Ce 0.3983 0.8588 0.6955  6 O 2.30-2.46
Ce 0.6017 0.1412 0.3045  6 O 2.30-2.46
Ce 0.1412 0.3045 0.6017  6 O 2.30-2.46
Ce 0.3045 0.6017 0.1412  6 O 2.30-2.46
Pa 0.0000 0.0000 0.0000  6 O 2.21

The calculation puts the raw formation energy at -3.499 eV/atom. For the theoretical density, the calculation gives 6.98 g/cm3. As for the space group: No. 148. The value obtained for the total energy is -9.004 eV/atom. Its size of the total moment is 0.27 μB per atom.

# 4
Compound: CsRbIn2Rh
Source: Alexandria via LeMat-Bulk
Functional: PBE
Structure: optimized geometry

Cell: 5.3172 5.3172 6.4405 Å, 90.00 90.00 90.00°
Last column: nearest neighbours and their distance in Å.
Positions (direct):
In 0.0000 0.5000 0.0000  2 Rh 2.66
In 0.5000 0.0000 0.0000  2 Rh 2.66
Rb 0.0000 0.0000 0.5000  2 Rh 3.22
Rh 0.0000 0.0000 0.0000  4 In 2.66
Cs 0.5000 0.5000 0.5000  4 Rb 3.76, 8 In 4.18

The formation energy comes out at -0.04 eV/atom. For the theoretical density, the calculation gives 5.02 g/cm3. As for the space group: No. 123. The value obtained for the total energy is -2.972 eV/atom. Its size of the total moment is 0.00 μB per atom.

# 5
Compound: Dy8Ru3Au2
Source: Alexandria via LeMat-Bulk
Functional: PBE
Structure: optimized geometry

Cell: 4.8635 9.7497 8.5324 Å, 124.98 90.00 90.00°
Last column: nearest neighbours and their distance in Å.
Positions (direct):
Dy 0.5000 0.8694 0.2335  3 Ru 2.92-2.93, 2 Au 3.07, 1 Dy 3.26
Dy 0.0000 0.6160 0.2319  2 Ru 2.93, 2 Au 3.05, 1 Dy 3.24
Dy 0.0000 0.3840 0.7681  2 Ru 2.93, 2 Au 3.05, 1 Dy 3.24
Dy 0.0000 0.1190 0.2372  4 Ru 2.94-2.95, 2 Au 3.07
Dy 0.5000 0.3642 0.2329  3 Ru 2.91-2.93, 2 Au 3.06-3.08
Dy 0.0000 0.8810 0.7628  4 Ru 2.94-2.95, 2 Au 3.07
Dy 0.5000 0.1306 0.7665  3 Ru 2.92-2.93, 2 Au 3.07, 1 Dy 3.26
Dy 0.5000 0.6358 0.7671  3 Ru 2.91-2.93, 2 Au 3.06-3.08
Ru 0.0000 0.2492 0.9996  8 Dy 2.93-2.95
Ru 0.5000 0.0000 0.0000  8 Dy 2.91-2.94
Ru 0.0000 0.7508 0.0004  8 Dy 2.93-2.95
Au 0.5000 0.7473 0.4951  8 Dy 3.05-3.08
Au 0.5000 0.2527 0.5049  8 Dy 3.05-3.08

The formation energy comes out at -0.46 eV/atom. For the theoretical density, the calculation gives 10.00 g/cm3. As for the space group: No. 10. The value obtained for the total energy is -5.937 eV/atom. Its size of the total moment is 0.00 μB per atom.

# 6
Compound: Ho5CoHg2
Source: Alexandria via LeMat-Bulk
Functional: PBE
Structure: optimized geometry

Cell: 4.7800 7.4352 11.5445 Å, 90.00 90.00 90.00°
Last column: nearest neighbours and their distance in Å.
Positions (direct):
Ho 0.5000 0.1779 0.0789  2 Co 2.88, 2 Hg 3.08-3.11, 1 Ho 3.21
Ho 0.5000 0.6779 0.4211  2 Co 2.88, 2 Hg 3.08-3.11, 1 Ho 3.21
Ho 0.0000 0.3615 0.3014  1 Co 2.51
Ho 0.0000 0.1385 0.8014  1 Co 2.51
Ho 0.0000 0.8615 0.1986  1 Co 2.51
Ho 0.5000 0.3221 0.5789  2 Co 2.88, 2 Hg 3.08-3.11, 1 Ho 3.21
Ho 0.0000 0.6385 0.6986  1 Co 2.51
Ho 0.0000 0.5000 0.0000  4 Hg 3.09
Ho 0.0000 0.0000 0.5000  4 Hg 3.09
Ho 0.5000 0.8221 0.9211  2 Co 2.88, 2 Hg 3.08-3.11, 1 Ho 3.21
Hg 0.5000 0.4243 0.8378  9 Ho 3.08-3.33
Hg 0.5000 0.9243 0.6622  9 Ho 3.08-3.33
Hg 0.5000 0.5757 0.1622  9 Ho 3.08-3.33
Hg 0.5000 0.0757 0.3378  9 Ho 3.08-3.33
Co 0.0000 0.0000 0.0000  2 Ho 2.51
Co 0.0000 0.5000 0.5000  2 Ho 2.51

The formation energy comes out at -0.32 eV/atom. For the theoretical density, the calculation gives 10.40 g/cm3. As for the space group: No. 55. The value obtained for the total energy is -4.148 eV/atom. Its size of the total moment is 0.00 μB per atom.